UTcAs | Alexandria via LeMat-Bulk | PBE | optimized geometry; magnetization = 0.162 μB/atom; E above lowest polymorph = 0.016 eV per atom; formation energy from the elements = -1.18 eV per formula unit; space-group type = P-6m2, No. 187
1.0
-1.4720 -1.1602 2.7661
-2.8328 -2.2547 -2.4532
3.7706 -1.8396 1.2350
As U Tc
1 1 1
Direct
0.1666 0.0000 0.0000 As
0.6666 0.6667 0.3333 U
0.1667 0.3333 0.6667 Tc

UTcAs2 | Alexandria via LeMat-Bulk | PBE | optimized geometry; magnetization = 0.799 μB/atom; E above lowest polymorph = 0.089 eV per atom; formation energy from the elements = -0.70 eV per formula unit; space-group type = P4/mmm, No. 123
1.0
3.1498 0.0000 0.0000
0.0000 3.1498 0.0000
0.0000 0.0000 7.1410
As U Tc
2 1 1
Direct
0.0000 0.0000 0.7915 As
0.0000 0.0000 0.2085 As
0.5000 0.5000 0.5000 U
0.5000 0.5000 0.0000 Tc

UTcAs2 | Alexandria via LeMat-Bulk | PBE | optimized geometry; magnetization = 0.902 μB/atom; E above lowest polymorph = 0.046 eV per atom; formation energy from the elements = -0.87 eV per formula unit; space-group type = R3m, No. 160
1.0
-2.6663 2.5820 -0.6356
-2.4164 -0.4515 -2.8525
-5.7882 -2.5372 2.8193
U Tc As
1 1 2
Direct
0.6696 0.6696 0.9913 U
0.4966 0.4966 0.5103 Tc
0.0978 0.0978 0.7067 As
0.2361 0.2361 0.2917 As

- Which value of formation energy from the elements does entry 2 give?
  -0.70 eV per formula unit